Below is crystalline Na12Tl3In at its relaxed geometry, with properties calculated at the GGA-PBE level.

Lattice parameters (Å, degrees): 5.105 5.105 18.832 90.00 90.00 90.00
Positions (direct):
Na 0.000 0.500 0.375
Na 0.500 0.500 0.249
Na 0.500 0.500 0.000
Na 0.500 0.000 0.625
Na 0.000 0.500 0.625
Na 0.000 0.500 0.877
Na 0.000 0.500 0.123
Na 0.500 0.000 0.877
Na 0.500 0.000 0.375
Na 0.500 0.500 0.751
Na 0.500 0.500 0.500
Na 0.500 0.000 0.123
In 0.000 0.000 0.000
Tl 0.000 0.000 0.751
Tl 0.000 0.000 0.500
Tl 0.000 0.000 0.249

Output
raw total energy = -1.67 eV per atom
space-group type = P4/mmm
total magnetic moment = 0.0 μB/f.u.

***

Below is crystalline CsTa3F at its relaxed geometry, with properties calculated at the GGA-PBE level.

Lattice parameters (Å, degrees): 5.087 5.087 5.087 90.00 90.00 90.00
Positions (direct):
Ta 0.000 0.500 0.000
Ta 0.500 0.000 0.000
Ta 0.000 0.000 0.500
F 0.500 0.500 0.500
Cs 0.000 0.000 0.000

Output
space-group type = Pm-3m
total magnetic moment = 0.0 μB/f.u.
energy above the most stable polymorph in this dataset = 1879 meV per atom

***

Below is crystalline PmH6RuRh at its relaxed geometry, with properties calculated at the GGA-PBE level.

Lattice parameters (Å, degrees): 4.668 4.668 4.303 90.00 90.00 60.00
Positions (direct):
H 0.009 0.496 0.227
H 0.496 0.496 0.227
H 0.496 0.496 0.773
H 0.009 0.496 0.773
H 0.496 0.009 0.227
H 0.496 0.009 0.773
Rh 0.667 0.667 0.500
Pm 0.000 0.000 0.000
Ru 0.333 0.333 0.500

Output
raw total energy = -4.86 eV per atom
space-group type = P-6m2
total magnetic moment = 0.0 μB/f.u.

***

Below is crystalline CsFeGe2I8 at its relaxed geometry, with properties calculated at the GGA-PBE level.

Lattice parameters (Å, degrees): 7.306 8.070 10.527 71.54 76.50 72.53
Last column: magnetic moment on the atom in μB.
Positions (direct):
Cs 0.000 0.000 0.500  0.00
I 0.566 0.750 0.458  0.02
I 0.239 0.825 0.830  0.15
I 0.761 0.175 0.170  0.15
I 0.825 0.283 0.768  0.07
I 0.434 0.250 0.542  0.02
I 0.175 0.717 0.232  0.07
I 0.259 0.216 0.970  0.10
I 0.741 0.784 0.030  0.10
Fe 0.000 0.000 0.000  3.51
Ge 0.438 0.421 0.730  0.02
Ge 0.562 0.579 0.270  0.02

Output
raw total energy = -2.97 eV per atom
space-group type = P-1
total magnetic moment = 4.7 μB/f.u.

***

Below is crystalline NbPt3Rh at its relaxed geometry, with properties calculated at the GGA-PBE level.

Lattice parameters (Å, degrees): 4.887 4.868 7.437 96.61 109.19 69.52
Positions (direct):
Pt 0.564 0.345 0.410
Pt 0.066 0.845 0.414
Pt 0.461 0.844 0.205
Pt 0.760 0.344 0.802
Pt 0.960 0.344 0.201
Pt 0.266 0.845 0.812
Rh 0.361 0.344 0.004
Rh 0.665 0.845 0.611
Nb 0.163 0.345 0.609
Nb 0.862 0.844 0.005

Output
space-group type = P-1
total magnetic moment = 0.0 μB/f.u.
energy above the most stable polymorph in this dataset = 35 meV per atom

***

Below is crystalline Pm4Hg2Rh at its relaxed geometry, with properties calculated at the GGA-PBE level.

Lattice parameters (Å, degrees): 4.713 6.033 8.066 74.72 73.01 67.01
Positions (direct):
Hg 0.359 0.613 0.669
Hg 0.641 0.387 0.331
Pm 0.076 0.202 0.647
Pm 0.326 0.277 0.070
Pm 0.674 0.723 0.930
Pm 0.924 0.798 0.353
Rh 0.000 0.000 0.000

Output
space-group type = C2/m
total magnetic moment = 0.0 μB/f.u.
energy above the most stable polymorph in this dataset = 0 meV per atom

***

Below is crystalline Ga2BiAu8 at its relaxed geometry, with properties calculated at the GGA-PBE level.

Lattice parameters (Å, degrees): 4.307 7.781 7.434 115.85 106.84 90.00
Positions (direct):
Au 0.686 0.893 0.373
Au 0.599 0.469 0.198
Au 0.401 0.531 0.802
Au 0.314 0.107 0.627
Au 0.959 0.269 0.918
Au 0.167 0.292 0.333
Au 0.833 0.708 0.667
Au 0.041 0.731 0.082
Ga 0.779 0.301 0.558
Ga 0.221 0.699 0.442
Bi 0.500 0.000 0.000

Output
raw total energy = -3.34 eV per atom
space-group type = C2/m
total magnetic moment = 0.0 μB/f.u.

***

Below is crystalline PuMgGaO6 at its relaxed geometry, with properties calculated at the GGA-PBE level.

Lattice parameters (Å, degrees): 5.188 5.188 9.256 90.00 90.00 120.00
Last column: magnetic moment on the atom in μB.
Positions (direct):
Ga 0.333 0.667 0.250  0.00
Ga 0.667 0.333 0.750  0.00
O 0.657 0.656 0.633  -0.06
O 0.343 0.999 0.133  -0.06
O 0.999 0.656 0.867  -0.06
O 0.657 0.001 0.867  -0.06
O 0.344 0.001 0.633  -0.06
O 0.343 0.344 0.367  -0.06
O 0.344 0.343 0.867  -0.06
O 0.999 0.343 0.633  -0.06
O 0.656 0.657 0.133  -0.06
O 0.001 0.657 0.367  -0.06
O 0.656 0.999 0.367  -0.06
O 0.001 0.344 0.133  -0.06
Pu 0.333 0.667 0.750  1.43
Pu 0.667 0.333 0.250  1.43
Mg 0.000 0.000 0.500  0.00
Mg 0.000 0.000 0.000  0.00

Output
raw total energy = -7.56 eV per atom
space-group type = P-31c
total magnetic moment = 1.0 μB/f.u.